# InCuOs2, relaxed, DFT PBE
data_InCuOs2
_chemical_formula_sum 'In2 Cu2 Os4'
_symmetry_space_group_name_H-M 'C m m 2'
_symmetry_Int_Tables_number 35
_cell_length_a 2.843
_cell_length_b 4.836
_cell_length_c 9.271
_cell_angle_alpha 90.00
_cell_angle_beta 90.00
_cell_angle_gamma 90.00
loop_
_symmetry_equiv_pos_as_xyz
'x,y,z'
'-x,-y,z'
'-x,y,z'
'x,-y,z'
'x+1/2,y+1/2,z'
'-x+1/2,-y+1/2,z'
'-x+1/2,y+1/2,z'
'x+1/2,-y+1/2,z'
loop_
_atom_site_label
_atom_site_type_symbol
_atom_site_fract_x
_atom_site_fract_y
_atom_site_fract_z
_atom_site_occupancy
In1 In 0.000 0.000 0.000 1
Cu1 Cu 0.000 0.500 0.745 1
Os1 Os 0.000 0.000 0.506 1
Os2 Os 0.000 0.500 0.271 1
# Total magnetization = 1.75 μB per cell
# Raw total energy = -53.4 eV/cell
# V = 63.7 Å³/f.u.
# Formation energy from the elements = 644.1 meV per atom